Entry A
DFT (PBE) results for a relaxed structure of ZrBeAs3.

Structure (POSCAR):
```
ZrBeAs3
1.0
5.164 0.000 0.000
0.000 5.164 0.000
0.000 0.000 5.164
Zr Be As
1 1 3
Cartesian
0.000 0.000 0.000 Zr
2.582 2.582 2.582 Be
0.000 0.000 2.582 As
0.000 2.582 0.000 As
2.582 0.000 0.000 As
```

Entry B
DFT (PBE) results for a relaxed structure of ZrBeAs3.

Structure (POSCAR):
```
ZrBeAs3
1.0
4.516 0.000 0.000
0.000 4.516 0.000
0.000 0.000 4.516
Zr Be As
1 1 3
Cartesian
0.000 0.000 0.000 Zr
2.258 2.258 2.258 Be
0.000 2.258 2.258 As
2.258 0.000 2.258 As
2.258 2.258 0.000 As
```

Of them, entry A has the lowest stability.

Entry A
DFT (PBE) results for a relaxed structure of ZrBeAs.

Structure (POSCAR):
```
ZrBeAs
1.0
0.000 2.916 2.916
2.916 0.000 2.916
2.916 2.916 0.000
Zr Be As
1 1 1
Cartesian
0.000 0.000 0.000 Zr
1.458 1.458 1.458 Be
2.916 2.916 2.916 As
```

Entry B
DFT (PBE) results for a relaxed structure of ZrBeAs.

Structure (POSCAR):
```
ZrBeAs
1.0
0.000 2.635 4.782
1.951 0.000 4.782
1.951 2.635 0.000
Zr Be As
1 1 1
Cartesian
0.000 0.000 0.000 Zr
1.951 2.635 3.032 Be
1.951 2.635 6.663 As
```

Entry C
DFT (PBE) results for a relaxed structure of ZrBeAs.

Structure (POSCAR):
```
ZrBeAs
1.0
3.120 0.000 0.000
-1.560 2.702 0.000
0.000 0.000 6.179
Zr Be As
1 1 1
Cartesian
0.000 0.000 0.000 Zr
0.000 1.801 3.928 Be
1.560 0.901 2.323 As
```

Entry D
DFT (PBE) results for a relaxed structure of ZrBeAs.

Structure (POSCAR):
```
ZrBeAs
1.0
-1.606 1.606 4.658
1.606 -1.606 4.658
1.606 1.606 -4.658
Zr Be As
1 1 1
Cartesian
0.000 0.000 0.000 Zr
0.000 0.000 2.850 Be
0.000 0.000 6.532 As
```

Of them, entry C has the lowest stability.

Entry A
DFT (PBE) results for a relaxed structure of ZrBeAs.

Structure (POSCAR):
```
ZrBeAs
1.0
0.000 2.762 6.986
2.614 0.000 6.986
2.614 2.762 0.000
Zr Be As
2 2 2
Cartesian
2.614 2.762 2.498 Zr
2.614 2.762 11.475 Zr
4.133 2.762 6.986 Be
1.095 2.762 6.986 Be
2.614 2.762 5.262 As
2.614 2.762 8.711 As
```

Entry B
DFT (PBE) results for a relaxed structure of ZrBeAs.

Structure (POSCAR):
```
ZrBeAs
1.0
3.796 0.000 0.000
-1.898 3.288 0.000
0.000 0.000 3.682
Zr Be As
1 1 1
Cartesian
0.000 0.000 0.000 Zr
1.898 1.096 1.841 Be
0.000 2.192 1.841 As
```

Of them, entry A has the lowest stability.